VASP calculation (PBE) on crystalline V2Ru2Rh3 at its relaxed geometry.

## Properties
calculated total energy: -8.581 eV per atom
volume: 196 Å³/cell
density of states at the Fermi level: 12.3 states/eV per cell
E above lowest polymorph: 0.000 eV/atom

Structure (CIF):
```
data_V2Ru2Rh3
_symmetry_space_group_name_H-M 'I m m m'
_symmetry_Int_Tables_number 71
_symmetry_space_group_name_Hall '-I 2 2'
_cell_length_a 2.722
_cell_length_b 4.149
_cell_length_c 17.345
_cell_angle_alpha 90.00
_cell_angle_beta 90.00
_cell_angle_gamma 90.00
loop_
_atom_site_label
_atom_site_type_symbol
_atom_site_fract_x
_atom_site_fract_y
_atom_site_fract_z
V1 V 0.000 0.000 0.144
Ru1 Ru 0.000 0.500 0.072
Rh1 Rh 0.000 0.000 0.292
Rh2 Rh 0.000 0.500 0.500
```